# Ce2CdBi9

Ce2CdBi9 after structural relaxation (PBE-GGA, the Alexandria database).

Computed properties:
As for the formation energy: -0.267 eV/atom. The electronic total energy is -4.243 eV per atom. Its volume is 30.5 Å³/atom.

a b c (Å): 4.8365 4.8365 15.6287
angles (deg): 90.00 90.00 90.00
Last column: nearest neighbours and their distance in Å.
Space group P4/mmm (No. 123)
Unique sites:
Ce1 0.0000 0.0000 0.1596  12 Bi 3.42-3.62
Cd1 0.0000 0.0000 0.5000  12 Bi 3.42-3.57
Bi1 0.0000 0.5000 0.0000  8 Bi 3.42-3.60, 4 Ce 3.47
Bi2 0.0000 0.5000 0.3316  8 Bi 3.42-3.57, 2 Cd 3.57, 2 Ce 3.62
Bi3 0.5000 0.5000 0.1708  4 Ce 3.42, 8 Bi 3.49-3.60
Bi4 0.5000 0.5000 0.5000  4 Cd 3.42, 8 Bi 3.57

***

# Ce2CdBi3

Ce2CdBi3 after structural relaxation (PBE-GGA, the Alexandria database).

Computed properties:
As for the formation energy: -0.398 eV/atom. The excess energy over the best structure of this formula in the dataset is 160 meV per atom. The electronic total energy is -4.469 eV per atom. Its volume is 33.7 Å³/atom.

a b c (Å): 4.6469 6.4513 13.4724
angles (deg): 90.00 90.00 90.00
Last column: nearest neighbours and their distance in Å.
Space group Immm (No. 71)
Unique sites:
Ce1 0.0000 0.0000 0.1662  6 Bi 3.23-3.24
Cd1 0.0000 0.0000 0.5000  6 Bi 3.23
Bi1 0.0000 0.5000 0.1660  2 Cd 3.23, 4 Ce 3.23-3.24
Bi2 0.0000 0.5000 0.5000  2 Cd 3.23, 4 Ce 3.23

***

# CeCdHgBi

CeCdHgBi after structural relaxation (PBE-GGA, the Alexandria database).

Computed properties:
As for the formation energy: -0.416 eV/atom. The excess energy over the best structure of this formula in the dataset is 0 meV per atom. The electronic total energy is -3.174 eV per atom. Its volume is 27.2 Å³/atom.

a b c (Å): 4.4960 4.6877 5.1546
angles (deg): 90.00 90.00 90.00
Last column: nearest neighbours and their distance in Å.
Space group Pmmm (No. 47)
Unique sites:
Ce1 0.0000 0.0000 0.0000  4 Bi 3.25, 4 Hg 3.42, 4 Cd 3.48
Cd1 0.0000 0.5000 0.5000  4 Hg 3.25, 4 Bi 3.42, 4 Ce 3.48
Hg1 0.5000 0.0000 0.5000  4 Cd 3.25, 4 Ce 3.42, 4 Bi 3.48
Bi1 0.5000 0.5000 0.0000  4 Ce 3.25, 4 Cd 3.42, 4 Hg 3.48

***

# CeCdHgBi

CeCdHgBi after structural relaxation (PBE-GGA, the Alexandria database).

Computed properties:
As for the formation energy: -0.281 eV/atom. The excess energy over the best structure of this formula in the dataset is 134 meV per atom. The electronic total energy is -3.039 eV per atom. Its volume is 27.5 Å³/atom.

a b c (Å): 7.6051 7.6051 7.6051
angles (deg): 90.00 90.00 90.00
Last column: nearest neighbours and their distance in Å.
Space group F-43m (No. 216)
Unique sites:
Ce1 0.0000 0.0000 0.0000  4 Bi 3.29, 4 Hg 3.29
Cd1 0.0000 0.0000 0.5000  4 Hg 3.29, 4 Bi 3.29
Hg1 0.2500 0.2500 0.2500  4 Cd 3.29, 4 Ce 3.29
Bi1 0.2500 0.2500 0.7500  4 Cd 3.29, 4 Ce 3.29

***

# CeHoCdBi

CeHoCdBi after structural relaxation (PBE-GGA, the Alexandria database).

Computed properties:
As for the formation energy: -0.374 eV/atom. The electronic total energy is -4.201 eV per atom. Its volume is 28.3 Å³/atom.

a b c (Å): 7.6780 7.6780 7.6780
angles (deg): 90.00 90.00 90.00
Last column: nearest neighbours and their distance in Å.
Space group F-43m (No. 216)
Unique sites:
Ce1 0.0000 0.0000 0.0000  4 Cd 3.32, 4 Bi 3.32
Ho1 0.0000 0.0000 0.5000  4 Cd 3.32, 4 Bi 3.32
Cd1 0.2500 0.2500 0.2500  4 Ce 3.32, 4 Ho 3.32
Bi1 0.2500 0.2500 0.7500  4 Ce 3.32, 4 Ho 3.32

***

# CeCdInBi

CeCdInBi after structural relaxation (PBE-GGA, the Alexandria database).

Computed properties:
As for the formation energy: -0.418 eV/atom. The electronic total energy is -3.785 eV per atom. Its volume is 27.1 Å³/atom.

a b c (Å): 4.5579 4.7029 5.0587
angles (deg): 90.00 90.00 90.00
Last column: nearest neighbours and their distance in Å.
Space group Pmmm (No. 47)
Unique sites:
Ce1 0.0000 0.0000 0.0000  4 Bi 3.27, 4 In 3.40, 4 Cd 3.45
Cd1 0.0000 0.5000 0.5000  4 In 3.27, 4 Bi 3.40, 4 Ce 3.45
In1 0.5000 0.0000 0.5000  4 Cd 3.27, 4 Ce 3.40, 4 Bi 3.45
Bi1 0.5000 0.5000 0.0000  4 Ce 3.27, 4 Cd 3.40, 4 In 3.45

***

# LaCeCdBi

LaCeCdBi after structural relaxation (PBE-GGA, the Alexandria database).

Computed properties:
As for the formation energy: -0.452 eV/atom. The electronic total energy is -4.366 eV per atom. Its volume is 30.5 Å³/atom.

a b c (Å): 7.8705 7.8705 7.8705
angles (deg): 90.00 90.00 90.00
Last column: nearest neighbours and their distance in Å.
Space group F-43m (No. 216)
Unique sites:
La1 0.0000 0.0000 0.0000  4 Cd 3.41, 4 Bi 3.41
Ce1 0.0000 0.0000 0.5000  4 Cd 3.41, 4 Bi 3.41
Cd1 0.2500 0.2500 0.2500  4 La 3.41, 4 Ce 3.41
Bi1 0.2500 0.2500 0.7500  4 La 3.41, 4 Ce 3.41

***

# CeLuCdBi

CeLuCdBi after structural relaxation (PBE-GGA, the Alexandria database).

Computed properties:
As for the formation energy: -0.337 eV/atom. The electronic total energy is -4.149 eV per atom. Its volume is 27.9 Å³/atom.

a b c (Å): 7.6420 7.6420 7.6420
angles (deg): 90.00 90.00 90.00
Last column: nearest neighbours and their distance in Å.
Space group F-43m (No. 216)
Unique sites:
Ce1 0.0000 0.0000 0.0000  4 Cd 3.31, 4 Bi 3.31
Lu1 0.0000 0.0000 0.5000  4 Cd 3.31, 4 Bi 3.31
Cd1 0.2500 0.2500 0.7500  4 Ce 3.31, 4 Lu 3.31
Bi1 0.2500 0.2500 0.2500  4 Ce 3.31, 4 Lu 3.31